# 1
Rb2Ca3CdF12: optimized geometry, PBE.

The calculation puts the uncorrected formation energy at -2.864 eV per atom. For the density of states at the Fermi level, the calculation gives 0.56 states/eV/atom.

The space group is R-3m (No. 166, hexagonal axes) and the conventional cell measures 7.9983, 7.9983 and 20.4406 Å, with angles of 90.00, 90.00 and 120.00 degrees. The inequivalent atoms are Rb at (0.0000, 0.0000, 0.1021), Ca at (0.0000, 0.5000, 0.0000), Cd at (0.0000, 0.0000, 0.5000), F at (0.0515, 0.5258, 0.3642) and F at (0.0778, 0.5389, 0.1085).

# 2
CaCdRhF6: optimized geometry, PBE.

The calculation puts the uncorrected formation energy at -2.329 eV per atom. For the density of states at the Fermi level, the calculation gives 0.56 states/eV/atom.

The space group is P-31c (No. 163) and the conventional cell measures 5.6613, 5.6613 and 9.8267 Å, with angles of 90.00, 90.00 and 120.00 degrees. The inequivalent atoms are Ca at (0.3333, 0.6667, 0.2500), Cd at (0.0000, 0.0000, 0.0000), Rh at (0.3333, 0.6667, 0.7500) and F at (0.0159, 0.3437, 0.6294).

# 3
CaCdRu2F: optimized geometry, PBE.

The calculation puts the uncorrected formation energy at 0.649 eV per atom. For the density of states at the Fermi level, the calculation gives 1.26 states/eV/atom.

The space group is P4/mmm (No. 123) and the conventional cell measures 5.1475, 5.1475 and 4.0949 Å, with angles of 90.00, 90.00 and 90.00 degrees. The inequivalent atoms are Ca at (0.0000, 0.0000, 0.0000), Cd at (0.5000, 0.5000, 0.5000), Ru at (0.0000, 0.5000, 0.0000) and F at (0.0000, 0.0000, 0.5000).